Entry 1:
A plane-wave DFT calculation with PBE was carried out for a relaxed Sm3DySc crystal.

**Magnetic moment**: 0.00 μB/f.u.
**Calculated formation energy**: 73 meV per atom
**SG**: C2/m (12)

Structure (extended XYZ):
```
10
Lattice="8.168 -1.750 0.000 8.168 1.750 0.000 -5.075 0.000 10.994" Properties=species:S:1:pos:R:3 pbc="T T T"
Sm -1.084 0.000 4.934
Sm 1.413 0.000 7.173
Sm 0.562 0.000 10.453
Sm 10.699 0.000 0.541
Sm 9.848 0.000 3.821
Sm 12.345 0.000 6.060
Dy 4.803 0.000 2.860
Dy 6.458 0.000 8.134
Sc -0.412 0.000 1.611
Sc 11.673 0.000 9.383
```

---

Entry 2:
A plane-wave DFT calculation with PBE was carried out for a relaxed Sm12Dy7Sc crystal.

**Magnetic moment**: 0.00 μB/f.u.
**Calculated formation energy**: 217 meV per atom
**SG**: R-3m (166)

Structure (extended XYZ):
```
20
Lattice="9.754 5.632 2.048 -9.754 5.632 2.048 0.000 -11.264 2.048" Properties=species:S:1:pos:R:3 pbc="T T T"
Sm -4.034 -4.277 2.048
Sm -5.721 -1.355 2.048
Sm 0.000 -3.977 1.223
Sm -3.444 1.988 1.223
Sm 4.034 -4.277 2.048
Sm -1.687 5.632 2.048
Sm 3.444 1.988 1.223
Sm -3.444 -1.988 4.921
Sm 5.721 -1.355 2.048
Sm 1.687 5.632 2.048
Sm 3.444 -1.988 4.921
Sm 0.000 3.977 4.921
Dy 0.000 0.000 0.000
Dy -2.354 -1.359 1.838
Dy 2.354 -1.359 1.838
Dy 0.000 2.718 1.838
Dy 0.000 -2.718 4.306
Dy -2.354 1.359 4.306
Dy 2.354 1.359 4.306
Sc 0.000 0.000 3.072
```

---

Entry 3:
A plane-wave DFT calculation with PBE was carried out for a relaxed SmDy5Sc2 crystal.

**Magnetic moment**: 0.00 μB/f.u.
**Calculated formation energy**: 30 meV per atom
**SG**: Pbam (55)

Structure (extended XYZ):
```
32
Lattice="11.266 0.000 0.000 0.000 12.093 0.000 0.000 0.000 7.016" Properties=species:S:1:pos:R:3 pbc="T T T"
Sm 2.784 0.972 0.000
Sm 2.849 7.019 0.000
Sm 8.417 5.074 0.000
Sm 8.482 11.121 0.000
Dy 0.000 6.047 1.783
Dy 0.000 6.047 5.233
Dy 0.014 2.971 3.508
Dy 0.007 2.982 0.000
Dy 2.802 10.079 1.784
Dy 2.802 10.079 5.232
Dy 2.831 4.033 1.784
Dy 2.831 4.033 5.232
Dy 5.619 9.017 3.508
Dy 5.626 9.029 0.000
Dy 5.633 0.000 1.783
Dy 5.633 0.000 5.233
Dy 5.640 3.064 0.000
Dy 5.647 3.076 3.508
Dy 8.435 8.060 1.784
Dy 8.435 8.060 5.232
Dy 8.464 2.014 1.784
Dy 8.464 2.014 5.232
Dy 11.259 9.111 0.000
Dy 11.252 9.122 3.508
Sc 0.000 0.000 1.799
Sc 0.000 0.000 5.217
Sc 2.775 1.009 3.508
Sc 2.858 7.056 3.508
Sc 5.633 6.047 1.799
Sc 5.633 6.047 5.217
Sc 8.407 5.037 3.508
Sc 8.491 11.084 3.508
```

---

Entry 4:
A plane-wave DFT calculation with PBE was carried out for a relaxed Sm2Dy9Sc crystal.

**Magnetic moment**: 0.00 μB/f.u.
**Calculated formation energy**: 29 meV per atom
**SG**: P4/mmm (123)

Structure (extended XYZ):
```
12
Lattice="5.004 0.000 0.000 0.000 5.004 0.000 0.000 0.000 14.971" Properties=species:S:1:pos:R:3 pbc="T T T"
Sm 0.000 0.000 2.527
Sm 0.000 0.000 12.444
Dy 0.000 2.502 0.000
Dy 0.000 2.502 5.074
Dy 0.000 2.502 9.897
Dy 2.502 0.000 0.000
Dy 2.502 0.000 5.074
Dy 2.502 0.000 9.897
Dy 2.502 2.502 2.542
Dy 2.502 2.502 7.486
Dy 2.502 2.502 12.429
Sc 0.000 0.000 7.486
```

---

Entry 5:
A plane-wave DFT calculation with PBE was carried out for a relaxed Sm3Dy2Sc2 crystal.

**Magnetic moment**: 0.00 μB/f.u.
**Calculated formation energy**: 128 meV per atom
**SG**: C2/m (12)

Structure (extended XYZ):
```
7
Lattice="8.523 -1.716 0.000 8.523 1.716 0.000 -3.995 0.000 7.342" Properties=species:S:1:pos:R:3 pbc="T T T"
Sm 0.000 0.000 0.000
Sm 2.420 0.000 2.222
Sm 10.630 0.000 5.121
Dy -0.869 0.000 5.958
Dy 13.919 0.000 1.385
Sc 5.076 0.000 4.331
Sc 7.974 0.000 3.011
```

---

Entry 6:
A plane-wave DFT calculation with PBE was carried out for a relaxed TbSm6Dy3Sc2 crystal.

**Magnetic moment**: 0.00 μB/f.u.
**Calculated formation energy**: 35 meV per atom
**SG**: C2/m (12)

Structure (extended XYZ):
```
12
Lattice="3.076 -5.326 0.000 3.076 5.326 0.000 -2.044 0.000 11.451" Properties=species:S:1:pos:R:3 pbc="T T T"
Tb 0.000 0.000 0.000
Sm 1.040 1.792 2.804
Sm 0.020 0.000 8.648
Sm 1.040 -1.792 2.804
Sm 3.068 1.792 8.647
Sm 4.088 0.000 2.803
Sm 3.068 -1.792 8.647
Dy 2.054 3.549 5.725
Dy 2.054 0.000 5.725
Dy 2.054 -3.549 5.725
Sc 3.076 1.775 0.000
Sc 3.076 -1.775 0.000
```

---

Entry 7:
A plane-wave DFT calculation with PBE was carried out for a relaxed Tb2SmDy2Sc2 crystal.

**Magnetic moment**: 0.00 μB/f.u.
**Calculated formation energy**: 160 meV per atom
**SG**: C2/m (12)

Structure (extended XYZ):
```
7
Lattice="8.624 -1.708 0.000 8.624 1.708 0.000 -3.839 0.000 7.298" Properties=species:S:1:pos:R:3 pbc="T T T"
Tb 1.069 0.000 2.880
Tb 12.339 0.000 4.417
Sm 6.704 0.000 3.649
Dy -2.203 0.000 6.673
Dy 15.612 0.000 0.625
Sc 4.202 0.000 1.443
Sc 9.206 0.000 5.855
```

---

Entry 8:
A plane-wave DFT calculation with PBE was carried out for a relaxed Tb2Sm2DySc crystal.

**Magnetic moment**: 0.00 μB/f.u.
**Calculated formation energy**: 92 meV per atom
**SG**: Pmma (51)

Structure (extended XYZ):
```
12
Lattice="6.871 0.000 0.000 0.000 5.589 0.000 0.000 0.000 9.667" Properties=species:S:1:pos:R:3 pbc="T T T"
Tb 1.718 0.000 1.566
Tb 1.718 2.795 6.477
Tb 5.153 0.000 8.101
Tb 5.153 2.795 3.191
Sm 0.000 2.795 0.000
Sm 1.718 0.000 7.866
Sm 3.435 2.795 0.000
Sm 5.153 0.000 1.801
Dy 1.718 2.795 3.364
Dy 5.153 2.795 6.303
Sc 0.000 0.000 4.834
Sc 3.435 0.000 4.834
```

---

Entry 9:
A plane-wave DFT calculation with PBE was carried out for a relaxed Tb2SmDySc2 crystal.

**Magnetic moment**: 0.00 μB/f.u.
**Calculated formation energy**: 137 meV per atom
**SG**: Pnnm (58)

Structure (extended XYZ):
```
12
Lattice="5.923 0.000 0.000 0.000 17.649 0.000 0.000 0.000 3.438" Properties=species:S:1:pos:R:3 pbc="T T T"
Tb 0.977 2.892 0.000
Tb 1.985 11.716 1.719
Tb 3.939 5.933 1.719
Tb 4.946 14.757 0.000
Sm 0.000 8.824 1.719
Sm 2.962 0.000 0.000
Dy 0.000 0.000 1.719
Dy 2.962 8.824 0.000
Sc 0.979 6.100 0.000
Sc 1.982 14.924 1.719
Sc 3.941 2.724 1.719
Sc 4.944 11.549 0.000
```

---

Entry 10:
A plane-wave DFT calculation with PBE was carried out for a relaxed Tb2Sm4DySc crystal.

**Magnetic moment**: 0.00 μB/f.u.
**Calculated formation energy**: 28 meV per atom
**SG**: P4/mmm (123)

Structure (extended XYZ):
```
8
Lattice="5.046 0.000 0.000 0.000 5.046 0.000 0.000 0.000 9.968" Properties=species:S:1:pos:R:3 pbc="T T T"
Tb 0.000 0.000 0.000
Tb 2.523 2.523 4.984
Sm 0.000 2.523 2.441
Sm 0.000 2.523 7.527
Sm 2.523 0.000 2.441
Sm 2.523 0.000 7.527
Dy 0.000 0.000 4.984
Sc 2.523 2.523 0.000
```

---

Entry 11:
A plane-wave DFT calculation with PBE was carried out for a relaxed TbSmDy5Sc2 crystal.

**Magnetic moment**: 0.00 μB/f.u.
**Calculated formation energy**: 168 meV per atom
**SG**: Cmc2_1 (36)

Structure (extended XYZ):
```
18
Lattice="2.797 -10.713 0.000 2.797 10.713 0.000 0.000 0.000 9.339" Properties=species:S:1:pos:R:3 pbc="T T T"
Tb 2.797 8.628 4.669
Tb 2.797 -8.628 0.000
Sm 2.797 3.972 0.941
Sm 2.797 -3.972 5.611
Dy 2.797 10.037 7.750
Dy 2.797 8.392 1.187
Dy 2.797 6.577 7.476
Dy 2.797 5.688 3.880
Dy 2.797 0.205 0.909
Dy 2.797 -0.205 5.579
Dy 2.797 -5.688 8.549
Dy 2.797 -6.577 2.807
Dy 2.797 -8.392 5.857
Dy 2.797 -10.037 3.080
Sc 2.797 2.947 7.297
Sc 2.797 2.427 3.803
Sc 2.797 -2.427 8.473
Sc 2.797 -2.947 2.628
```

---

Entry 12:
A plane-wave DFT calculation with PBE was carried out for a relaxed TbSmDySc crystal.

**Magnetic moment**: 0.00 μB/f.u.
**Calculated formation energy**: 99 meV per atom
**SG**: Cm (8)

Structure (extended XYZ):
```
4
Lattice="6.073 -2.816 0.000 6.073 2.816 0.000 -1.167 0.000 3.581" Properties=species:S:1:pos:R:3 pbc="T T T"
Tb 0.000 0.000 0.000
Sm 2.388 0.000 2.765
Dy 5.930 0.000 1.933
Sc 9.033 0.000 0.967
```

---

magnetic moment of number 8 (Tb2Sm2DySc)? 0.00 μB/f.u.